[1]
## Nd4Dy2Pb3N2 (GGA-PBE)

Data for crystalline Nd4Dy2Pb3N2 at its relaxed geometry.

Calculated values
DOS at the Fermi energy ... 0.168 states/eV/atom

abc: 4.8818 4.8818 25.7961
angles: 90.00 90.00 90.00
Closest atoms and distances in Å follow each position.
Space group I4/mmm (No. 139)
Symmetry-distinct sites (fractional):
1 Nd 0.0000 0.5000 0.0861  2 N 2.50
2 Dy 0.0000 0.0000 0.1924  1 N 2.20
3 Pb 0.0000 0.0000 0.3190  5 Dy 3.27-3.46, 4 Nd 3.46
4 Pb 0.0000 0.0000 0.5000  8 Nd 3.30
5 N 0.0000 0.0000 0.1069  1 Dy 2.20

***

[2]
## Pm2NdDyN4 (GGA-PBE)

Data for crystalline Pm2NdDyN4 at its relaxed geometry.

Calculated values
DOS at the Fermi energy ... 0.056 states/eV/atom

abc: 6.2163 3.5915 6.2178
angles: 90.00 109.41 90.00
Closest atoms and distances in Å follow each position.
Space group P2/m (No. 10)
Symmetry-distinct sites (fractional):
1 Pm 0.0000 0.0000 0.0000  6 N 2.53
2 Pm 0.0000 0.5000 0.5000  6 N 2.57
3 Nd 0.5000 0.0000 0.5000  6 N 2.55
4 Dy 0.5000 0.5000 0.0000  6 N 2.51
5 N 0.2513 0.5000 0.2454  1 Dy 2.51, 3 Pm 2.53-2.57, 2 Nd 2.55
6 N 0.2547 0.0000 0.7563  2 Dy 2.51, 3 Pm 2.53-2.57, 1 Nd 2.55

***

[3]
## PmNdDyN3 (GGA-PBE)

Data for crystalline PmNdDyN3 at its relaxed geometry.

abc: 6.1362 3.5523 9.2277
angles: 90.00 101.63 90.00
Closest atoms and distances in Å follow each position.
Space group P2_1/m (No. 11)
Symmetry-distinct sites (fractional):
1 Pm 0.2307 0.2500 0.4532  6 N 2.43-2.69
2 Nd 0.3468 0.7500 0.8047  7 N 2.56-2.75
3 Dy 0.1499 0.7500 0.1379  5 N 2.28-2.53
4 N 0.0373 0.2500 0.6587  1 Dy 2.39, 3 Pm 2.43-2.50
5 N 0.2453 0.2500 0.0087  3 Dy 2.28-2.53
6 N 0.4611 0.7500 0.3250  1 Dy 2.30, 1 Pm 2.49, 2 Nd 2.56

***

[4]
## NdDy2PuN4 (GGA-PBE)

Data for crystalline NdDy2PuN4 at its relaxed geometry.

Calculated values
DOS at the Fermi energy ... 0.925 states/eV/atom

abc: 6.0795 3.5232 6.0851
angles: 90.00 109.36 90.00
Closest atoms and distances in Å follow each position.
Space group P2/m (No. 10)
Symmetry-distinct sites (fractional):
1 Nd 0.0000 0.0000 0.0000  6 N 2.53
2 Dy 0.5000 0.0000 0.5000  6 N 2.44-2.45
3 Dy 0.5000 0.5000 0.0000  6 N 2.52-2.53
4 Pu 0.0000 0.5000 0.5000  6 N 2.44-2.46
5 N 0.2486 0.0000 0.7395  3 Dy 2.44-2.52, 2 Pu 2.46, 1 Nd 2.53
6 N 0.2542 0.5000 0.2629  1 Pu 2.44, 3 Dy 2.45-2.53, 2 Nd 2.53

***

[5]
## NdDy2ReN4 (GGA-PBE)

Data for crystalline NdDy2ReN4 at its relaxed geometry.

Calculated values
DOS at the Fermi energy ... 0.208 states/eV/atom

abc: 3.4732 11.7565 11.6311
angles: 90.00 90.00 90.00
Closest atoms and distances in Å follow each position.
Space group Cmcm (No. 63)
Symmetry-distinct sites (fractional):
1 Nd 0.0000 0.1191 0.2500  6 N 2.64-2.74
2 Dy 0.0000 0.3687 0.0393  5 N 2.31-2.55
3 Re 0.0000 0.1440 0.7500  4 N 1.99-2.00
4 N 0.0000 0.0000 0.0000  4 Dy 2.37
5 N 0.0000 0.2633 0.6279  1 Re 2.00
6 N 0.0000 0.4383 0.2500  2 Re 1.99

***

[6]
## NdDy2RuN4 (GGA-PBE)

Data for crystalline NdDy2RuN4 at its relaxed geometry.

Calculated values
DOS at the Fermi energy ... 0.343 states/eV/atom

abc: 3.4425 11.6901 11.6322
angles: 90.00 90.00 90.00
Closest atoms and distances in Å follow each position.
Space group Cmcm (No. 63)
Symmetry-distinct sites (fractional):
1 Nd 0.0000 0.1199 0.2500  6 N 2.60-2.71
2 Dy 0.0000 0.3689 0.0424  6 N 2.31-2.56
3 Ru 0.0000 0.1435 0.7500  4 N 1.99-2.03
4 N 0.0000 0.0000 0.0000  4 Dy 2.36
5 N 0.0000 0.2671 0.6275  1 Ru 2.03
6 N 0.0000 0.4414 0.2500  2 Ru 1.99

***

[7]
## NdDySN (GGA-PBE)

Data for crystalline NdDySN at its relaxed geometry.

Calculated values
DOS at the Fermi energy ... 0.248 states/eV/atom

abc: 3.6924 3.6924 19.3507
angles: 90.00 90.00 120.00
Closest atoms and distances in Å follow each position.
Space group R3m (No. 160, hexagonal axes)
Symmetry-distinct sites (fractional):
1 Nd 0.0000 0.0000 0.0000  3 N 2.60, 3 S 2.89
2 Dy 0.0000 0.0000 0.5266  3 N 2.46
3 S 0.0000 0.0000 0.7672  3 Dy 2.79, 3 Nd 2.89
4 N 0.0000 0.0000 0.2568  3 Dy 2.46, 3 Nd 2.60

***

[8]
## NdSmDyN3 (GGA-PBE)

Data for crystalline NdSmDyN3 at its relaxed geometry.

abc: 6.1210 3.5463 9.2051
angles: 90.00 101.65 90.00
Closest atoms and distances in Å follow each position.
Space group P2_1/m (No. 11)
Symmetry-distinct sites (fractional):
1 Nd 0.1536 0.2500 0.1959  7 N 2.56-2.75
2 Sm 0.2694 0.7500 0.5463  6 N 2.42-2.68
3 Dy 0.3500 0.2500 0.8617  5 N 2.28-2.52
4 N 0.0389 0.2500 0.6736  1 Dy 2.30, 1 Sm 2.47, 2 Nd 2.56
5 N 0.2544 0.7500 0.9914  3 Dy 2.28-2.52
6 N 0.4634 0.7500 0.3423  1 Dy 2.39, 3 Sm 2.42-2.49

***

[9]
## Nd2Dy4Sn3N2 (GGA-PBE)

Data for crystalline Nd2Dy4Sn3N2 at its relaxed geometry.

Calculated values
DOS at the Fermi energy ... 0.114 states/eV/atom

abc: 4.7289 4.7289 25.4571
angles: 90.00 90.00 90.00
Closest atoms and distances in Å follow each position.
Space group I4/mmm (No. 139)
Symmetry-distinct sites (fractional):
1 Nd 0.0000 0.0000 0.1915  1 N 2.38
2 Dy 0.0000 0.5000 0.0826  2 N 2.40
3 Sn 0.0000 0.0000 0.3251  4 Dy 3.33, 5 Nd 3.37-3.40
4 Sn 0.0000 0.0000 0.5000  8 Dy 3.16
5 N 0.0000 0.0000 0.0982  1 Nd 2.38, 4 Dy 2.40

***

[10]
## NdDy2SnN4 (GGA-PBE)

Data for crystalline NdDy2SnN4 at its relaxed geometry.

Calculated values
DOS at the Fermi energy ... 0.199 states/eV/atom

abc: 3.5682 11.8065 12.0817
angles: 90.00 90.00 90.00
Closest atoms and distances in Å follow each position.
Space group Cmcm (No. 63)
Symmetry-distinct sites (fractional):
1 Nd 0.0000 0.1155 0.2500  6 N 2.64-2.76
2 Dy 0.0000 0.3709 0.0354  3 N 2.26-2.39
3 Sn 0.0000 0.1474 0.7500  4 N 2.10-2.13
4 N 0.0000 0.0000 0.0000  4 Dy 2.39
5 N 0.0000 0.2656 0.6205  1 Sn 2.10, 1 Dy 2.26
6 N 0.0000 0.4507 0.2500  2 Sn 2.13

***

[11]
## Nd2DyTaN4 (GGA-PBE)

Data for crystalline Nd2DyTaN4 at its relaxed geometry.

Calculated values
DOS at the Fermi energy ... 0.224 states/eV/atom

abc: 5.9164 3.4018 6.0413
angles: 90.00 108.66 90.00
Closest atoms and distances in Å follow each position.
Space group P2/m (No. 10)
Symmetry-distinct sites (fractional):
1 Nd 0.0000 0.0000 0.0000  6 N 2.62-2.68
2 Nd 0.5000 0.5000 0.0000  6 N 2.49-2.50
3 Dy 0.0000 0.5000 0.5000  6 N 2.39-2.40
4 Ta 0.5000 0.0000 0.5000  6 N 2.18-2.26
5 N 0.2655 0.0000 0.7151  1 Ta 2.18, 2 Dy 2.40
6 N 0.2814 0.5000 0.2903  2 Ta 2.26, 1 Dy 2.39, 1 Nd 2.49

***

[12]
## Nd3Dy2TaN6 (GGA-PBE)

Data for crystalline Nd3Dy2TaN6 at its relaxed geometry.

Calculated values
DOS at the Fermi energy ... 0.163 states/eV/atom

abc: 5.9989 10.3799 6.0628
angles: 90.00 109.20 90.00
Closest atoms and distances in Å follow each position.
Space group C2/m (No. 12)
Symmetry-distinct sites (fractional):
1 Nd 0.0000 0.0000 0.0000  6 N 2.51-2.67
2 Nd 0.0000 0.3331 0.0000  6 N 2.49-2.70
3 Dy 0.0000 0.1667 0.5000  6 N 2.43-2.44
4 Ta 0.0000 0.5000 0.5000  6 N 2.22-2.25
5 N 0.2258 0.3469 0.7175  1 Ta 2.22, 2 Dy 2.43
6 N 0.2332 0.5000 0.2762  1 Ta 2.25, 2 Dy 2.44, 2 Nd 2.49

***

| no. | calculated total energy (eV/atom) |
| --- | --- |
| 1 | -5.923 |
| 2 | -7.990 |
| 3 | -7.855 |
| 4 | -9.180 |
| 5 | -8.498 |
| 6 | -8.084 |
| 7 | -7.246 |
| 8 | -7.861 |
| 9 | -6.183 |
| 10 | -7.289 |
| 11 | -8.780 |
| 12 | -8.552 |